VASP calculation (PBE-GGA) on a geometry-optimized La6OsPd2 structure.

formation energy from the elements = -0.427 eV per atom
size of the total moment = 0.00 μB per atom
space group = P2_1/c

Lattice parameters (Å, degrees): 6.933 7.675 12.386 90.00 120.38 90.00
Positions (direct):
La1 0.092 0.047 0.248
La2 0.092 0.453 0.748
La3 0.242 0.682 0.074
La4 0.242 0.818 0.574
La5 0.395 0.181 0.067
La6 0.395 0.319 0.567
La7 0.605 0.681 0.433
La8 0.605 0.819 0.933
La9 0.758 0.182 0.426
La10 0.758 0.318 0.926
La11 0.908 0.547 0.252
La12 0.908 0.953 0.752
Os1 0.000 0.000 0.000
Os2 0.000 0.500 0.500
Pd1 0.326 0.114 0.769
Pd2 0.326 0.386 0.269
Pd3 0.674 0.614 0.731
Pd4 0.674 0.886 0.231

=====

VASP calculation (PBE-GGA) on a geometry-optimized LaOsPd2 structure.

ΔE to the lowest computed polymorph = 76.9 meV/atom
formation energy from the elements = 0.198 eV per atom
size of the total moment = 0.00 μB per atom
space group = I-42d

Lattice parameters (Å, degrees): 4.243 4.243 18.642 90.00 90.00 90.00
Positions (direct):
La1 0.000 0.000 0.000
La2 0.000 0.500 0.250
La3 0.500 0.000 0.750
La4 0.500 0.500 0.500
Os1 0.000 0.000 0.500
Os2 0.000 0.500 0.750
Os3 0.500 0.000 0.250
Os4 0.500 0.500 0.000
Pd1 0.194 0.250 0.625
Pd2 0.250 0.694 0.875
Pd3 0.250 0.806 0.375
Pd4 0.306 0.250 0.125
Pd5 0.694 0.750 0.125
Pd6 0.750 0.194 0.375
Pd7 0.750 0.306 0.875
Pd8 0.806 0.750 0.625

=====

VASP calculation (PBE-GGA) on a geometry-optimized LaOsPd2 structure.

ΔE to the lowest computed polymorph = 0.0 meV/atom
formation energy from the elements = 0.121 eV per atom
size of the total moment = 0.40 μB per atom
space group = Fm-3m

Lattice parameters (Å, degrees): 6.756 6.756 6.756 90.00 90.00 90.00
Positions (direct):
La1 0.000 0.000 0.000
La2 0.000 0.500 0.500
La3 0.500 0.000 0.500
La4 0.500 0.500 0.000
Os1 0.000 0.000 0.500
Os2 0.000 0.500 0.000
Os3 0.500 0.000 0.000
Os4 0.500 0.500 0.500
Pd1 0.250 0.250 0.250
Pd2 0.250 0.250 0.750
Pd3 0.250 0.750 0.250
Pd4 0.250 0.750 0.750
Pd5 0.750 0.250 0.250
Pd6 0.750 0.250 0.750
Pd7 0.750 0.750 0.250
Pd8 0.750 0.750 0.750

=====

VASP calculation (PBE-GGA) on a geometry-optimized LaOs2Pd structure.

ΔE to the lowest computed polymorph = 389.8 meV/atom
formation energy from the elements = 0.759 eV per atom
size of the total moment = 0.49 μB per atom
space group = Fm-3m

Lattice parameters (Å, degrees): 6.630 6.630 6.630 90.00 90.00 90.00
Positions (direct):
La1 0.000 0.000 0.000
La2 0.000 0.500 0.500
La3 0.500 0.000 0.500
La4 0.500 0.500 0.000
Os1 0.250 0.250 0.250
Os2 0.250 0.250 0.750
Os3 0.250 0.750 0.250
Os4 0.250 0.750 0.750
Os5 0.750 0.250 0.250
Os6 0.750 0.250 0.750
Os7 0.750 0.750 0.250
Os8 0.750 0.750 0.750
Pd1 0.000 0.000 0.500
Pd2 0.000 0.500 0.000
Pd3 0.500 0.000 0.000
Pd4 0.500 0.500 0.500

=====

VASP calculation (PBE-GGA) on a geometry-optimized La5Os2Pd2 structure.

formation energy from the elements = -0.390 eV per atom
size of the total moment = 0.00 μB per atom
space group = Cmce

Lattice parameters (Å, degrees): 8.664 8.664 7.775 90.00 90.00 53.94
Positions (direct):
La1 0.000 0.000 0.000
La2 0.048 0.687 0.676
La3 0.187 0.548 0.176
La4 0.313 0.952 0.676
La5 0.452 0.813 0.176
La6 0.500 0.500 0.500
La7 0.548 0.187 0.824
La8 0.687 0.048 0.324
La9 0.813 0.452 0.824
La10 0.952 0.313 0.324
Os1 0.120 0.880 0.385
Os2 0.380 0.620 0.885
Os3 0.620 0.380 0.115
Os4 0.880 0.120 0.615
Pd1 0.213 0.213 0.000
Pd2 0.287 0.287 0.500
Pd3 0.713 0.713 0.500
Pd4 0.787 0.787 0.000

=====

VASP calculation (PBE-GGA) on a geometry-optimized LaPmOsPd structure.

formation energy from the elements = -0.343 eV per atom
size of the total moment = 0.00 μB per atom
space group = F-43m

Lattice parameters (Å, degrees): 7.156 7.156 7.156 90.00 90.00 90.00
Positions (direct):
La1 0.000 0.000 0.000
La2 0.000 0.500 0.500
La3 0.500 0.000 0.500
La4 0.500 0.500 0.000
Pm1 0.000 0.000 0.500
Pm2 0.000 0.500 0.000
Pm3 0.500 0.000 0.000
Pm4 0.500 0.500 0.500
Os1 0.250 0.250 0.250
Os2 0.250 0.750 0.750
Os3 0.750 0.250 0.750
Os4 0.750 0.750 0.250
Pd1 0.250 0.250 0.750
Pd2 0.250 0.750 0.250
Pd3 0.750 0.250 0.250
Pd4 0.750 0.750 0.750

=====

VASP calculation (PBE-GGA) on a geometry-optimized LaPrOsPd structure.

formation energy from the elements = -0.302 eV per atom
size of the total moment = 0.00 μB per atom
space group = F-43m

Lattice parameters (Å, degrees): 7.206 7.206 7.206 90.00 90.00 90.00
Positions (direct):
La1 0.000 0.000 0.000
La2 0.000 0.500 0.500
La3 0.500 0.000 0.500
La4 0.500 0.500 0.000
Pr1 0.000 0.000 0.500
Pr2 0.000 0.500 0.000
Pr3 0.500 0.000 0.000
Pr4 0.500 0.500 0.500
Os1 0.250 0.250 0.250
Os2 0.250 0.750 0.750
Os3 0.750 0.250 0.750
Os4 0.750 0.750 0.250
Pd1 0.250 0.250 0.750
Pd2 0.250 0.750 0.250
Pd3 0.750 0.250 0.250
Pd4 0.750 0.750 0.750

=====

VASP calculation (PBE-GGA) on a geometry-optimized LaPuOsPd structure.

formation energy from the elements = -0.191 eV per atom
size of the total moment = 1.19 μB per atom
space group = F-43m

Lattice parameters (Å, degrees): 7.059 7.059 7.059 90.00 90.00 90.00
Positions (direct):
La1 0.000 0.000 0.000
La2 0.000 0.500 0.500
La3 0.500 0.000 0.500
La4 0.500 0.500 0.000
Pu1 0.000 0.000 0.500
Pu2 0.000 0.500 0.000
Pu3 0.500 0.000 0.000
Pu4 0.500 0.500 0.500
Os1 0.250 0.250 0.250
Os2 0.250 0.750 0.750
Os3 0.750 0.250 0.750
Os4 0.750 0.750 0.250
Pd1 0.250 0.250 0.750
Pd2 0.250 0.750 0.250
Pd3 0.750 0.250 0.250
Pd4 0.750 0.750 0.750

=====

VASP calculation (PBE-GGA) on a geometry-optimized La8OsPdRh2 structure.

formation energy from the elements = -0.442 eV per atom
size of the total moment = 0.00 μB per atom
space group = P2/m

Lattice parameters (Å, degrees): 6.787 8.586 6.891 90.00 90.15 90.00
Positions (direct):
La1 0.227 0.000 0.159
La2 0.234 0.500 0.170
La3 0.268 0.260 0.667
La4 0.268 0.740 0.667
La5 0.732 0.260 0.333
La6 0.732 0.740 0.333
La7 0.766 0.500 0.830
La8 0.773 0.000 0.841
Os1 0.500 0.500 0.500
Pd1 0.500 0.000 0.500
Rh1 0.000 0.249 0.000
Rh2 0.000 0.751 0.000

=====

VASP calculation (PBE-GGA) on a geometry-optimized LaScOsPd structure.

formation energy from the elements = -0.403 eV per atom
size of the total moment = 0.00 μB per atom
space group = F-43m

Lattice parameters (Å, degrees): 6.887 6.887 6.887 90.00 90.00 90.00
Positions (direct):
La1 0.000 0.000 0.000
La2 0.000 0.500 0.500
La3 0.500 0.000 0.500
La4 0.500 0.500 0.000
Sc1 0.000 0.000 0.500
Sc2 0.000 0.500 0.000
Sc3 0.500 0.000 0.000
Sc4 0.500 0.500 0.500
Os1 0.250 0.250 0.250
Os2 0.250 0.750 0.750
Os3 0.750 0.250 0.750
Os4 0.750 0.750 0.250
Pd1 0.250 0.250 0.750
Pd2 0.250 0.750 0.250
Pd3 0.750 0.250 0.250
Pd4 0.750 0.750 0.750

=====

VASP calculation (PBE-GGA) on a geometry-optimized LaSmOsPd structure.

formation energy from the elements = -0.356 eV per atom
size of the total moment = 0.00 μB per atom
space group = F-43m

Lattice parameters (Å, degrees): 7.138 7.138 7.138 90.00 90.00 90.00
Positions (direct):
La1 0.000 0.000 0.000
La2 0.000 0.500 0.500
La3 0.500 0.000 0.500
La4 0.500 0.500 0.000
Sm1 0.000 0.000 0.500
Sm2 0.000 0.500 0.000
Sm3 0.500 0.000 0.000
Sm4 0.500 0.500 0.500
Os1 0.250 0.250 0.750
Os2 0.250 0.750 0.250
Os3 0.750 0.250 0.250
Os4 0.750 0.750 0.750
Pd1 0.250 0.250 0.250
Pd2 0.250 0.750 0.750
Pd3 0.750 0.250 0.750
Pd4 0.750 0.750 0.250

=====

VASP calculation (PBE-GGA) on a geometry-optimized LaTbOsPd structure.

formation energy from the elements = -0.401 eV per atom
size of the total moment = 0.00 μB per atom
space group = F-43m

Lattice parameters (Å, degrees): 7.082 7.082 7.082 90.00 90.00 90.00
Positions (direct):
La1 0.000 0.000 0.000
La2 0.000 0.500 0.500
La3 0.500 0.000 0.500
La4 0.500 0.500 0.000
Tb1 0.000 0.000 0.500
Tb2 0.000 0.500 0.000
Tb3 0.500 0.000 0.000
Tb4 0.500 0.500 0.500
Os1 0.250 0.250 0.750
Os2 0.250 0.750 0.250
Os3 0.750 0.250 0.250
Os4 0.750 0.750 0.750
Pd1 0.250 0.250 0.250
Pd2 0.250 0.750 0.750
Pd3 0.750 0.250 0.750
Pd4 0.750 0.750 0.250

=====

DOS at the Fermi energy (computed, states/eV/atom): 1.100; 1.245; 1.508; 1.185; 0.741; 0.934; 0.955; 2.504; 0.893; 0.662; 0.924; 0.823